{
  "formula": "Mg2CrPb",
  "functional": "PBEsol",
  "state": "optimized geometry",
  "lattice": [[3.4953, 0.0000, 0.0000], [0.0000, 5.0441, 0.0118], [-1.7477, -1.3203, 4.8117]],
  "species": ["Cr", "Mg", "Mg", "Pb"],
  "frac_coords": [[0.2492, 0.7519, 0.4983], [0.9912, 0.9920, 0.9824], [0.7503, 0.2378, 0.5006], [0.5094, 0.5182, 0.0187]],
  "mass_density_g_cm3": 6.02,
  "e_tot_ev_per_cell": -16.30
}

=====

{
  "formula": "Mg2Tl",
  "functional": "PBEsol",
  "state": "optimized geometry",
  "lattice": [[6.7537, 0.0000, 0.0000], [0.0000, 6.7537, 0.0000], [0.0000, 0.0000, 6.7537]],
  "species": ["Mg", "Mg", "Mg", "Mg", "Mg", "Mg", "Mg", "Mg", "Tl", "Tl", "Tl", "Tl"],
  "frac_coords": [[0.2500, 0.7500, 0.7500], [0.7500, 0.2500, 0.2500], [0.7500, 0.7500, 0.2500], [0.2500, 0.2500, 0.7500], [0.7500, 0.2500, 0.7500], [0.2500, 0.7500, 0.2500], [0.2500, 0.2500, 0.2500], [0.7500, 0.7500, 0.7500], [0.5000, 0.0000, 0.5000], [0.0000, 0.5000, 0.5000], [0.0000, 0.0000, 0.0000], [0.5000, 0.5000, 0.0000]],
  "mass_density_g_cm3": 5.45,
  "e_tot_ev_per_cell": -24.47
}

=====

{
  "formula": "InSiAs",
  "functional": "PBEsol",
  "state": "optimized geometry",
  "lattice": [[-2.2512, -0.0381, 4.0224], [2.1792, -1.2991, 3.8486], [1.0148, 3.1191, 3.2388]],
  "species": ["As", "Si", "In"],
  "frac_coords": [[0.5000, 0.5000, 0.5000], [0.0000, 0.0000, 0.0000], [0.2500, 0.2500, 0.2500]],
  "mass_density_g_cm3": 5.22,
  "de_polymorph_ev_per_atom": 0.2194,
  "raw_formation_energy_ev_per_atom": 0.52
}

=====

{
  "formula": "MnCr4CdS8",
  "functional": "PBEsol",
  "state": "optimized geometry",
  "lattice": [[7.1130, 0.0000, 0.0000], [3.5565, 6.1600, 0.0000], [3.5565, 2.0533, 5.8077]],
  "species": ["Mn", "Cr", "Cr", "Cr", "Cr", "Cd", "S", "S", "S", "S", "S", "S", "S", "S"],
  "frac_coords": [[0.5000, 0.5000, 0.5000], [0.8748, 0.3755, 0.8748], [0.8748, 0.8748, 0.8748], [0.3755, 0.8748, 0.8748], [0.8748, 0.8748, 0.3755], [0.2500, 0.2500, 0.2500], [0.1091, 0.6727, 0.1091], [0.1091, 0.1091, 0.1091], [0.6727, 0.1091, 0.1091], [0.1091, 0.1091, 0.6727], [0.6358, 0.0925, 0.6358], [0.6358, 0.6358, 0.6358], [0.0925, 0.6358, 0.6358], [0.6358, 0.6358, 0.0925]],
  "mass_density_g_cm3": 4.12,
  "raw_formation_energy_ev_per_atom": -0.65
}

=====

{
  "formula": "BaCaAg2",
  "functional": "PBEsol",
  "state": "optimized geometry",
  "lattice": [[3.8250, 0.0000, 0.0000], [0.0000, 3.8250, 0.0000], [0.0000, 0.0000, 7.5905]],
  "species": ["Ca", "Ba", "Ag", "Ag"],
  "frac_coords": [[0.5000, 0.5000, 0.5000], [0.5000, 0.5000, 0.0000], [0.0000, 0.0000, 0.7029], [0.0000, 0.0000, 0.2971]],
  "mass_density_g_cm3": 5.88,
  "de_polymorph_ev_per_atom": 0.0000
}

=====

{
  "formula": "TbBr",
  "functional": "PBEsol",
  "state": "optimized geometry",
  "lattice": [[-3.4078, -1.2661, 0.9445], [-1.1815, -3.3341, -1.2635], [2.3523, -5.9656, 7.9589]],
  "species": ["Tb", "Tb", "Br", "Br"],
  "frac_coords": [[0.8794, 0.8794, 0.3617], [0.1206, 0.1206, 0.6383], [0.6097, 0.6097, 0.1708], [0.3903, 0.3903, 0.8292]],
  "mass_density_g_cm3": 6.50,
  "raw_formation_energy_ev_per_atom": -1.21
}

=====

{
  "formula": "KNa2Hg2",
  "functional": "PBEsol",
  "state": "optimized geometry",
  "lattice": [[3.8303, 0.0000, 0.0000], [0.0000, 8.8407, 0.0000], [0.0000, 0.0000, 8.8407]],
  "species": ["Na", "Na", "Na", "Na", "K", "K", "Hg", "Hg", "Hg", "Hg"],
  "frac_coords": [[0.5000, 0.1702, 0.6702], [0.5000, 0.6702, 0.8298], [0.5000, 0.8298, 0.3298], [0.5000, 0.3298, 0.1702], [0.0000, 0.0000, 0.0000], [0.0000, 0.5000, 0.5000], [0.0000, 0.3823, 0.8823], [0.0000, 0.8823, 0.6177], [0.0000, 0.6177, 0.1177], [0.0000, 0.1177, 0.3823]],
  "mass_density_g_cm3": 5.39,
  "e_tot_ev_per_cell": -11.83
}

=====

{
  "formula": "SrLi2Sb2",
  "functional": "PBEsol",
  "state": "optimized geometry",
  "lattice": [[-2.6069, 3.7652, 0.1944], [-3.3776, -2.4374, 1.9135], [5.1430, 0.5494, 4.2880]],
  "species": ["Sb", "Sb", "Sr", "Li", "Li"],
  "frac_coords": [[0.3785, 0.3785, 0.7570], [0.6215, 0.6215, 0.2430], [0.0000, 0.0000, 0.0000], [0.2500, 0.7500, 0.5000], [0.7500, 0.2500, 0.5000]],
  "mass_density_g_cm3": 4.63,
  "raw_formation_energy_ev_per_atom": -0.75
}

=====

{
  "formula": "CaTlZn",
  "functional": "PBEsol",
  "state": "optimized geometry",
  "lattice": [[3.6369, 0.0000, 0.0000], [0.0000, 4.7151, 0.0000], [0.0000, -2.3575, 4.0834]],
  "species": ["Zn", "Tl", "Ca"],
  "frac_coords": [[0.0000, 0.6667, 0.3333], [0.0000, 0.3333, 0.6667], [0.5000, 0.0000, 0.0000]],
  "mass_density_g_cm3": 7.35,
  "e_tot_ev_per_cell": -7.33
}

=====

{
  "formula": "CdPd2Se2",
  "functional": "PBEsol",
  "state": "optimized geometry",
  "lattice": [[-3.6886, -0.7418, 1.3000], [-1.1653, -0.7469, -3.7324], [3.8874, -5.2241, 1.9545]],
  "species": ["Se", "Se", "Pd", "Pd", "Cd"],
  "frac_coords": [[0.3774, 0.3774, 0.7548], [0.6226, 0.6226, 0.2452], [0.2500, 0.7500, 0.5000], [0.7500, 0.2500, 0.5000], [0.0000, 0.0000, 0.0000]],
  "mass_density_g_cm3": 8.18,
  "raw_formation_energy_ev_per_atom": -0.06
}

=====

{
  "formula": "KBa2P5O15",
  "functional": "PBEsol",
  "state": "optimized geometry",
  "lattice": [[7.3489, 0.0000, 0.0000], [0.0000, 8.6372, 0.0064], [0.0000, -0.1101, 10.7922]],
  "species": ["K", "K", "Ba", "Ba", "Ba", "Ba", "P", "P", "P", "P", "P", "P", "P", "P", "P", "P", "O", "O", "O", "O", "O", "O", "O", "O", "O", "O", "O", "O", "O", "O", "O", "O", "O", "O", "O", "O", "O", "O", "O", "O", "O", "O", "O", "O", "O", "O"],
  "frac_coords": [[0.6447, 0.9420, 0.8796], [0.3553, 0.4420, 0.3796], [0.8354, 0.7446, 0.5015], [0.1299, 0.7470, 0.0895], [0.1646, 0.2446, 0.0015], [0.8701, 0.2470, 0.5895], [0.3393, 0.8446, 0.3970], [0.1541, 0.5844, 0.7602], [0.6547, 0.5807, 0.0976], [0.0985, 0.9305, 0.7722], [0.4516, 0.0642, 0.1934], [0.5484, 0.5642, 0.6934], [0.6607, 0.3446, 0.8970], [0.3453, 0.0807, 0.5976], [0.8459, 0.0844, 0.2602], [0.9015, 0.4305, 0.2722], [0.9467, 0.4627, 0.4056], [0.1985, 0.7672, 0.7636], [0.8312, 0.2699, 0.8468], [0.3857, 0.0014, 0.3255], [0.2882, 0.9189, 0.5299], [0.6143, 0.5014, 0.8255], [0.0526, 0.4450, 0.1793], [0.7347, 0.5419, 0.2365], [0.6656, 0.0234, 0.1919], [0.3344, 0.5234, 0.6919], [0.2653, 0.0419, 0.7365], [0.6254, 0.4709, 0.5875], [0.1688, 0.7699, 0.3468], [0.5851, 0.7340, 0.6959], [0.4535, 0.5956, 0.1087], [0.2324, 0.2092, 0.5459], [0.9474, 0.9450, 0.6793], [0.4961, 0.2440, 0.9067], [0.1493, 0.5306, 0.8919], [0.8015, 0.2672, 0.2636], [0.5039, 0.7440, 0.4067], [0.3746, 0.9709, 0.0875], [0.7676, 0.7092, 0.0459], [0.0007, 0.0511, 0.1742], [0.0533, 0.9627, 0.9056], [0.5465, 0.0956, 0.6087], [0.7118, 0.4189, 0.0299], [0.4149, 0.2340, 0.1959], [0.9993, 0.5511, 0.6742], [0.8507, 0.0306, 0.3919]],
  "mass_density_g_cm3": 3.44,
  "raw_formation_energy_ev_per_atom": -2.48
}

=====

{
  "formula": "SrCd2Au2",
  "functional": "PBEsol",
  "state": "optimized geometry",
  "lattice": [[-0.4453, -1.8602, 3.8343], [3.3406, -2.5461, -0.8473], [2.4924, 6.5231, 1.0598]],
  "species": ["Sr", "Au", "Au", "Cd", "Cd"],
  "frac_coords": [[0.0000, 0.0000, 0.0000], [0.3944, 0.3944, 0.7888], [0.6056, 0.6056, 0.2112], [0.2500, 0.7500, 0.5000], [0.7500, 0.2500, 0.5000]],
  "mass_density_g_cm3": 10.01,
  "e_tot_ev_per_cell": -14.49
}

=====

| no. | DOS(E_F) (states/eV/cell) |
| --- | --- |
| 1 | 2.49 |
| 2 | 4.68 |
| 3 | 1.92 |
| 4 | 1.06 |
| 5 | 2.46 |
| 6 | 2.33 |
| 7 | 5.80 |
| 8 | 1.03 |
| 9 | 1.23 |
| 10 | 4.09 |
| 11 | 0.00 |
| 12 | 2.22 |